[1]
## Al2ReSi (PBE-GGA)

Data for a relaxed structure of Al2ReSi.

Output
E_tot = -6.401 eV/atom
Energy relative to the elements, uncorrected = -0.062 eV per atom

a = 3.2864 Å, b = 4.3048 Å, c = 8.0448 Å
α = 90.00°, β = 90.00°, γ = 90.00°
With the nearest neighbours (Å) after each atom.
Space group Imm2 (No. 44)
Unique sites:
Al: 0.0000 0.0000 0.0000 (multiplicity 2)  4 Al 2.63-2.92, 4 Re 2.66-2.89, 4 Si 2.71
Al: 0.0000 0.5000 0.2452 (multiplicity 2)  2 Si 2.57, 2 Al 2.63, 4 Re 2.71
Re: 0.0000 0.5000 0.7597 (multiplicity 2)  2 Si 2.53, 6 Al 2.66-2.71
Si: 0.0000 0.0000 0.4996 (multiplicity 2)  2 Re 2.53, 6 Al 2.57-2.71

[2]
## Al2ReSi (PBE-GGA)

Data for a relaxed structure of Al2ReSi.

Output
E_tot = -6.348 eV/atom
Energy relative to the elements, uncorrected = -0.009 eV per atom

a = 2.8998 Å, b = 2.8998 Å, c = 24.9805 Å
α = 90.00°, β = 90.00°, γ = 120.00°
With the nearest neighbours (Å) after each atom.
Space group R3m (No. 160, hexagonal axes)
Unique sites:
Al: 0.0000 0.0000 0.0000 (multiplicity 3)  3 Si 2.72, 9 Al 2.81-2.90
Al: 0.0000 0.0000 0.2431 (multiplicity 3)  3 Re 2.68, 9 Al 2.81-2.90
Re: 0.0000 0.0000 0.4924 (multiplicity 3)  3 Si 2.48, 3 Al 2.68
Si: 0.0000 0.0000 0.7524 (multiplicity 3)  3 Re 2.48, 3 Al 2.72

[3]
## AlReSi2 (PBE-GGA)

Data for a relaxed structure of AlReSi2.

Output
E_tot = -6.420 eV/atom
Energy relative to the elements, uncorrected = 0.340 eV per atom

a = 6.0789 Å, b = 6.0789 Å, c = 6.0789 Å
α = 90.00°, β = 90.00°, γ = 90.00°
With the nearest neighbours (Å) after each atom.
Space group F-43m (No. 216)
Unique sites:
Al: 0.0000 0.0000 0.0000 (multiplicity 4)  4 Re 2.63, 4 Si 2.63
Re: 0.2500 0.2500 0.2500 (multiplicity 4)  4 Al 2.63, 4 Si 2.63
Si: 0.0000 0.0000 0.5000 (multiplicity 4)  4 Re 2.63, 4 Si 2.63
Si: 0.2500 0.2500 0.7500 (multiplicity 4)  4 Al 2.63, 4 Si 2.63

[4]
## AlReSi3 (PBE-GGA)

Data for a relaxed structure of AlReSi3.

Output
Offset from the most stable computed form = 0.0 meV per atom
E_tot = -5.897 eV/atom
Energy relative to the elements, uncorrected = 0.595 eV per atom

a = 4.7021 Å, b = 4.7021 Å, c = 4.7021 Å
α = 90.00°, β = 90.00°, γ = 90.00°
With the nearest neighbours (Å) after each atom.
Space group Pm-3m (No. 221)
Unique sites:
Al: 0.0000 0.0000 0.0000 (multiplicity 1)  12 Si 3.32
Re: 0.5000 0.5000 0.5000 (multiplicity 1)  6 Si 2.35
Si: 0.0000 0.5000 0.5000 (multiplicity 3)  2 Re 2.35

no.,size of the total moment (μB/atom)
1,0.00
2,0.00
3,0.00
4,0.00